# Hg2RhSe

Hg2RhSe after structural relaxation (GGA-PBE, the Alexandria database).

Lattice parameters (Å, degrees): 3.1207 3.1207 9.3425 90.00 90.00 90.00
Element x y z (fractional)
Hg (0.0000, 0.0000, 0.0000)
Hg (0.5000, 0.5000, 0.2904)
Rh (0.0000, 0.0000, 0.5353)
Se (0.5000, 0.5000, 0.6611)

The uncorrected formation energy is -0.02 eV per atom. For the total magnetic moment, the calculation gives 0.000 μB/f.u.